[1]
This record from the Alexandria database describes a relaxed structure of TlIr2W. The functional is PBE.

Properties
DOS(E_F)	5.28	states/eV per cell
energy of formation	0.6395	eV/atom
volume	67	Å³ per cell
distance to the lowest polymorph of the same formula	569	meV per atom
space-group type	No. 123

Cell lengths 4.1564, 4.1564, 3.8767 Å; angles 90.00, 90.00, 90.00 degrees
With the nearest neighbours (Å) after each atom.
Sites, in units of the cell vectors:
Tl 0.0000 0.0000 0.0000  8 Ir 2.84, 4 W 2.94
Ir 0.0000 0.5000 0.5000  4 Tl 2.84, 4 W 2.84, 4 Ir 2.94
Ir 0.5000 0.0000 0.5000  4 Tl 2.84, 4 W 2.84, 4 Ir 2.94
W 0.5000 0.5000 0.0000  8 Ir 2.84, 4 Tl 2.94

[2]
This record from the Alexandria database describes a relaxed structure of PdWSe. The functional is PBE.

Properties
DOS(E_F)	9.04	states/eV per cell
formation energy from raw total energies	0.166	eV/atom
volume	346	Å³ per cell
space-group type	No. 9

Cell lengths 7.0806, 7.0806, 9.8734 Å; angles 117.67, 117.67, 55.16 degrees
With the nearest neighbours (Å) after each atom.
Sites, in units of the cell vectors:
Pd 0.9997 0.0003 0.0000  3 Se 2.51-2.62, 2 W 2.78-2.80, 1 Pd 2.80
Pd 0.0003 0.9997 0.5000  3 Se 2.51-2.62, 2 W 2.78-2.80, 1 Pd 2.80
Pd 0.2041 0.3192 0.1977  3 W 2.60-2.67, 2 Se 2.71-2.89, 2 Pd 2.79-2.83
Pd 0.2991 0.6528 0.8003  3 Se 2.70-2.79, 4 W 2.74-2.97, 2 Pd 2.79-2.80
Pd 0.3192 0.2041 0.6977  3 W 2.60-2.67, 2 Se 2.71-2.89, 2 Pd 2.79-2.83
Pd 0.6528 0.2991 0.3003  3 Se 2.70-2.79, 4 W 2.74-2.97, 2 Pd 2.79-2.80
W 0.2277 0.6852 0.2098  3 Se 2.47-2.73, 1 W 2.50, 1 Pd 2.64
W 0.3261 0.5263 0.4994  1 W 2.55, 2 Se 2.60-2.69, 3 Pd 2.60-2.78
W 0.4744 0.7736 0.4904  2 W 2.50-2.55, 3 Se 2.51-2.72, 2 Pd 2.67-2.80
W 0.5263 0.3261 0.9994  1 W 2.55, 2 Se 2.60-2.69, 3 Pd 2.60-2.78
W 0.6852 0.2277 0.7098  3 Se 2.47-2.73, 1 W 2.50, 1 Pd 2.64
W 0.7736 0.4744 0.9904  2 W 2.50-2.55, 3 Se 2.51-2.72, 2 Pd 2.67-2.80
Se 0.1400 0.1468 0.3799  4 Pd 2.62-2.89, 2 W 2.63-2.73
Se 0.1468 0.1400 0.8799  4 Pd 2.62-2.89, 2 W 2.63-2.73
Se 0.4511 0.7688 0.1314  3 W 2.47-2.60, 1 Pd 2.59
Se 0.7641 0.8986 0.0583  2 Pd 2.51-2.70, 3 W 2.68-2.72
Se 0.7688 0.4511 0.6314  3 W 2.47-2.60, 1 Pd 2.59
Se 0.8986 0.7641 0.5583  2 Pd 2.51-2.70, 3 W 2.68-2.72

[3]
This record from the Alexandria database describes a relaxed structure of TbScCdAg. The functional is PBE.

Properties
DOS(E_F)	3.96	states/eV per cell
energy of formation	-0.2843	eV/atom
volume	93	Å³ per cell
distance to the lowest polymorph of the same formula	0	meV per atom
space-group type	No. 99

Cell lengths 3.5959, 3.5959, 7.1950 Å; angles 90.00, 90.00, 90.00 degrees
With the nearest neighbours (Å) after each atom.
Sites, in units of the cell vectors:
Tb 0.0000 0.0000 0.0000  4 Ag 3.18, 4 Cd 3.25, 1 Sc 3.47
Sc 0.0000 0.0000 0.4822  4 Ag 2.98, 4 Cd 3.06
Cd 0.5000 0.5000 0.7185  4 Sc 3.06, 4 Tb 3.25, 1 Ag 3.26
Ag 0.5000 0.5000 0.2659  4 Sc 2.98, 4 Tb 3.18, 1 Cd 3.26

[4]
This record from the Alexandria database describes a relaxed structure of Li12Bi3O5. The functional is PBE.

Properties
DOS(E_F)	18.25	states/eV per cell
formation energy from raw total energies	-1.085	eV/atom
volume	1152	Å³ per cell
space-group type	No. 230

Cell lengths 11.4386, 11.4386, 11.4386 Å; angles 109.47, 109.47, 109.47 degrees
With the nearest neighbours (Å) after each atom.
Sites, in units of the cell vectors:
Li 0.0165 0.6891 0.0934  2 O 1.87-1.98
Li 0.0165 0.8274 0.9231  2 O 1.87-1.98
Li 0.0769 0.5934 0.9043  2 O 1.87-1.98
Li 0.0769 0.9835 0.1726  2 O 1.87-1.98
Li 0.0934 0.0165 0.6891  2 O 1.87-1.98
Li 0.0934 0.5769 0.4043  2 O 1.87-1.98
Li 0.0957 0.6726 0.6891  2 O 1.87-1.98
Li 0.0957 0.9231 0.4066  2 O 1.87-1.98
Li 0.1726 0.0769 0.9835  2 O 1.87-1.98
Li 0.1726 0.5957 0.1891  2 O 1.87-1.98
Li 0.1891 0.1726 0.5957  2 O 1.87-1.98
Li 0.1891 0.5165 0.5934  2 O 1.87-1.98
Li 0.3109 0.9043 0.3274  2 O 1.87-1.98
Li 0.3109 0.9066 0.9835  2 O 1.87-1.98
Li 0.3274 0.3109 0.9043  2 O 1.87-1.98
Li 0.3274 0.5165 0.4231  2 O 1.87-1.98
Li 0.4043 0.0934 0.5769  2 O 1.87-1.98
Li 0.4043 0.8109 0.8274  2 O 1.87-1.98
Li 0.4066 0.0957 0.9231  2 O 1.87-1.98
Li 0.4066 0.8109 0.4835  2 O 1.87-1.98
Li 0.4231 0.3274 0.5165  2 O 1.87-1.98
Li 0.4231 0.5957 0.9066  2 O 1.87-1.98
Li 0.4835 0.4066 0.8109  2 O 1.87-1.98
Li 0.4835 0.5769 0.6726  2 O 1.87-1.98
Li 0.5165 0.4231 0.3274  2 O 1.87-1.98
Li 0.5165 0.5934 0.1891  2 O 1.87-1.98
Li 0.5769 0.4043 0.0934  2 O 1.87-1.98
Li 0.5769 0.6726 0.4835  2 O 1.87-1.98
Li 0.5934 0.1891 0.5165  2 O 1.87-1.98
Li 0.5934 0.9043 0.0769  2 O 1.87-1.98
Li 0.5957 0.1891 0.1726  2 O 1.87-1.98
Li 0.5957 0.9066 0.4231  2 O 1.87-1.98
Li 0.6726 0.4835 0.5769  2 O 1.87-1.98
Li 0.6726 0.6891 0.0957  2 O 1.87-1.98
Li 0.6891 0.0934 0.0165  2 O 1.87-1.98
Li 0.6891 0.0957 0.6726  2 O 1.87-1.98
Li 0.8109 0.4835 0.4066  2 O 1.87-1.98
Li 0.8109 0.8274 0.4043  2 O 1.87-1.98
Li 0.8274 0.4043 0.8109  2 O 1.87-1.98
Li 0.8274 0.9231 0.0165  2 O 1.87-1.98
Li 0.9043 0.0769 0.5934  2 O 1.87-1.98
Li 0.9043 0.3274 0.3109  2 O 1.87-1.98
Li 0.9066 0.4231 0.5957  2 O 1.87-1.98
Li 0.9066 0.9835 0.3109  2 O 1.87-1.98
Li 0.9231 0.0165 0.8274  2 O 1.87-1.98
Li 0.9231 0.4066 0.0957  2 O 1.87-1.98
Li 0.9835 0.1726 0.0769  2 O 1.87-1.98
Li 0.9835 0.3109 0.9066  2 O 1.87-1.98
Bi 0.1250 0.2500 0.3750  8 Li 2.88-2.90
Bi 0.1250 0.3750 0.7500  8 Li 2.88-2.90
Bi 0.2500 0.3750 0.1250  8 Li 2.88-2.90
Bi 0.2500 0.8750 0.6250  8 Li 2.88-2.90
Bi 0.3750 0.1250 0.2500  8 Li 2.88-2.90
Bi 0.3750 0.7500 0.1250  8 Li 2.88-2.90
Bi 0.6250 0.2500 0.8750  8 Li 2.88-2.90
Bi 0.6250 0.8750 0.7500  8 Li 2.88-2.90
Bi 0.7500 0.1250 0.3750  8 Li 2.88-2.90
Bi 0.7500 0.6250 0.8750  8 Li 2.88-2.90
Bi 0.8750 0.6250 0.2500  8 Li 2.88-2.90
Bi 0.8750 0.7500 0.6250  8 Li 2.88-2.90
O 0.0000 0.0000 0.0000  6 Li 1.98
O 0.0000 0.0000 0.5000  6 Li 1.98
O 0.0000 0.5000 0.0000  6 Li 1.98
O 0.0000 0.5000 0.5000  6 Li 1.98
O 0.1250 0.7500 0.8750  4 Li 1.87
O 0.1250 0.8750 0.2500  4 Li 1.87
O 0.2500 0.1250 0.8750  4 Li 1.87
O 0.2500 0.6250 0.3750  4 Li 1.87
O 0.3750 0.2500 0.6250  4 Li 1.87
O 0.3750 0.6250 0.7500  4 Li 1.87
O 0.5000 0.0000 0.0000  6 Li 1.98
O 0.5000 0.0000 0.5000  6 Li 1.98
O 0.5000 0.5000 0.0000  6 Li 1.98
O 0.5000 0.5000 0.5000  6 Li 1.98
O 0.6250 0.3750 0.2500  4 Li 1.87
O 0.6250 0.7500 0.3750  4 Li 1.87
O 0.7500 0.3750 0.6250  4 Li 1.87
O 0.7500 0.8750 0.1250  4 Li 1.87
O 0.8750 0.1250 0.7500  4 Li 1.87
O 0.8750 0.2500 0.1250  4 Li 1.87

[5]
This record from the Alexandria database describes a relaxed structure of Er2MgHg3. The functional is PBE.

Properties
DOS(E_F)	6.58	states/eV per cell
energy of formation	-0.4553	eV/atom
volume	284	Å³ per cell
distance to the lowest polymorph of the same formula	0	meV per atom
space-group type	No. 164

Cell lengths 5.0839, 5.0839, 12.6674 Å; angles 90.00, 90.00, 120.00 degrees
With the nearest neighbours (Å) after each atom.
Sites, in units of the cell vectors:
Er 0.0000 0.0000 0.0000  8 Hg 3.12-3.22
Er 0.0000 0.0000 0.5000  8 Hg 3.11-3.12
Er 0.3333 0.6667 0.1767  8 Hg 3.07-3.30
Er 0.6667 0.3333 0.8233  8 Hg 3.07-3.30
Mg 0.3333 0.6667 0.6627  8 Hg 3.08-3.21
Mg 0.6667 0.3333 0.3373  8 Hg 3.08-3.21
Hg 0.0000 0.0000 0.2540  5 Er 3.09-3.22, 3 Mg 3.12
Hg 0.0000 0.0000 0.7460  5 Er 3.09-3.22, 3 Mg 3.12
Hg 0.3333 0.6667 0.4193  4 Er 3.07-3.11, 4 Mg 3.08-3.11
Hg 0.3333 0.6667 0.9163  7 Er 3.12-3.30, 1 Mg 3.21
Hg 0.6667 0.3333 0.0837  7 Er 3.12-3.30, 1 Mg 3.21
Hg 0.6667 0.3333 0.5807  4 Er 3.07-3.11, 4 Mg 3.08-3.11

[6]
This record from the Alexandria database describes a relaxed structure of LiAc3Ge6. The functional is PBE.

Properties
DOS(E_F)	6.14	states/eV per cell
energy of formation	-0.5641	eV/atom
volume	514	Å³ per cell
space-group type	No. 167

Cell lengths 8.0991, 8.0991, 8.0991 Å; angles 98.06, 98.06, 98.06 degrees
With the nearest neighbours (Å) after each atom.
Sites, in units of the cell vectors:
Li 0.0000 0.0000 0.0000  6 Ge 3.01
Li 0.5000 0.5000 0.5000  6 Ge 3.01
Ac 0.1885 0.7500 0.3115  10 Ge 3.19-3.50
Ac 0.2500 0.6885 0.8115  10 Ge 3.19-3.50
Ac 0.3115 0.1885 0.7500  10 Ge 3.19-3.50
Ac 0.6885 0.8115 0.2500  10 Ge 3.19-3.50
Ac 0.7500 0.3115 0.1885  10 Ge 3.19-3.50
Ac 0.8115 0.2500 0.6885  10 Ge 3.19-3.50
Ge 0.0169 0.0922 0.3764  2 Ge 2.56-2.68
Ge 0.0922 0.3764 0.0169  2 Ge 2.56-2.68
Ge 0.1236 0.4078 0.4831  2 Ge 2.56-2.68
Ge 0.3764 0.0169 0.0922  2 Ge 2.56-2.68
Ge 0.4078 0.4831 0.1236  2 Ge 2.56-2.68
Ge 0.4831 0.1236 0.4078  2 Ge 2.56-2.68
Ge 0.5169 0.8764 0.5922  2 Ge 2.56-2.68
Ge 0.5922 0.5169 0.8764  2 Ge 2.56-2.68
Ge 0.6236 0.9831 0.9078  2 Ge 2.56-2.68
Ge 0.8764 0.5922 0.5169  2 Ge 2.56-2.68
Ge 0.9078 0.6236 0.9831  2 Ge 2.56-2.68
Ge 0.9831 0.9078 0.6236  2 Ge 2.56-2.68

What did the sixth record say?
This record from the Alexandria database describes a relaxed structure of LiAc3Ge6. The functional is PBE.

Properties
DOS(E_F)	6.14	states/eV per cell
energy of formation	-0.5641	eV/atom
volume	514	Å³ per cell
space-group type	No. 167

Cell lengths 8.0991, 8.0991, 8.0991 Å; angles 98.06, 98.06, 98.06 degrees
With the nearest neighbours (Å) after each atom.
Sites, in units of the cell vectors:
Li 0.0000 0.0000 0.0000  6 Ge 3.01
Li 0.5000 0.5000 0.5000  6 Ge 3.01
Ac 0.1885 0.7500 0.3115  10 Ge 3.19-3.50
Ac 0.2500 0.6885 0.8115  10 Ge 3.19-3.50
Ac 0.3115 0.1885 0.7500  10 Ge 3.19-3.50
Ac 0.6885 0.8115 0.2500  10 Ge 3.19-3.50
Ac 0.7500 0.3115 0.1885  10 Ge 3.19-3.50
Ac 0.8115 0.2500 0.6885  10 Ge 3.19-3.50
Ge 0.0169 0.0922 0.3764  2 Ge 2.56-2.68
Ge 0.0922 0.3764 0.0169  2 Ge 2.56-2.68
Ge 0.1236 0.4078 0.4831  2 Ge 2.56-2.68
Ge 0.3764 0.0169 0.0922  2 Ge 2.56-2.68
Ge 0.4078 0.4831 0.1236  2 Ge 2.56-2.68
Ge 0.4831 0.1236 0.4078  2 Ge 2.56-2.68
Ge 0.5169 0.8764 0.5922  2 Ge 2.56-2.68
Ge 0.5922 0.5169 0.8764  2 Ge 2.56-2.68
Ge 0.6236 0.9831 0.9078  2 Ge 2.56-2.68
Ge 0.8764 0.5922 0.5169  2 Ge 2.56-2.68
Ge 0.9078 0.6236 0.9831  2 Ge 2.56-2.68
Ge 0.9831 0.9078 0.6236  2 Ge 2.56-2.68

Which value of volume does entry 2 give?
346 Å³ per cell

Among the records above, which one has the lowest volume?
TlIr2W